Material: Ti4Nb2V
Method: DFT, PBE
State: optimized geometry

Calculated values
- calculated formation energy (eV per atom) = 0.73
- electronic total energy (eV per formula unit) = -55.71
- total magnetic moment (Bohr magnetons per cell) = 0.00
- theoretical density (g/cm³) = 5.44

CIF file:
```
data_Ti4Nb2V
_cell_length_a 7.3917
_cell_length_b 7.3917
_cell_length_c 7.3917
_cell_angle_alpha 145.22
_cell_angle_beta 145.22
_cell_angle_gamma 50.00
_space_group_name_H-M_alt 'P 1'
_space_group_IT_number 1
loop_
_space_group_symop_operation_xyz
'x,y,z'
loop_
_atom_site_label
_atom_site_fract_x
_atom_site_fract_y
_atom_site_fract_z
Ti1 0.0000 0.5000 0.5000
Ti2 0.1886 0.1886 0.0000
Ti3 0.5000 0.0000 0.5000
Ti4 0.8114 0.8114 0.0000
Nb1 0.3676 0.3676 0.0000
Nb2 0.6324 0.6324 0.0000
V1 0.0000 0.0000 0.0000
```